A | Density functional theory data (PBE) for PuGa6 after structural relaxation.

Calculated values
**Crystal system**: tetragonal

Structure (CIF):
```
data_PuGa6
_space_group_name_H-M_alt 'P 4/n b m'
_space_group_IT_number 125
_cell_length_a 5.9538
_cell_length_b 5.9538
_cell_length_c 7.7093
_cell_angle_alpha 90.00
_cell_angle_beta 90.00
_cell_angle_gamma 90.00
loop_
_space_group_symop_operation_xyz
'x,y,z'
'-x,-y,-z'
'-y+1/2,x,z'
'y+1/2,-x,-z'
'-x+1/2,-y+1/2,z'
'x+1/2,y+1/2,-z'
'y,-x+1/2,z'
'-y,x+1/2,-z'
'x,-y+1/2,-z'
'-x,y+1/2,z'
'-y+1/2,-x+1/2,-z'
'y+1/2,x+1/2,z'
'-x+1/2,y,-z'
'x+1/2,-y,z'
'y,x,-z'
'-y,-x,z'
loop_
_atom_site_label
_atom_site_type_symbol
_atom_site_fract_x
_atom_site_fract_y
_atom_site_fract_z
_atom_site_occupancy
Pu1 Pu 0.2500 0.7500 0.0000 1
Ga1 Ga 0.0659 0.5659 0.3512 1
Ga2 Ga 0.2500 0.2500 0.1592 1
```


B | Density functional theory data (PBE) for PuGa6 after structural relaxation.

Calculated values
**Crystal system**: cubic

Structure (CIF):
```
data_PuGa6
_space_group_name_H-M_alt 'I m -3 m'
_space_group_IT_number 229
_space_group_name_Hall '-I 4 2 3'
_cell_length_a 6.9868
_cell_length_b 6.9868
_cell_length_c 6.9868
_cell_angle_alpha 90.00
_cell_angle_beta 90.00
_cell_angle_gamma 90.00
loop_
_atom_site_label
_atom_site_type_symbol
_atom_site_fract_x
_atom_site_fract_y
_atom_site_fract_z
_atom_site_occupancy
Pu1 Pu 0.0000 0.0000 0.0000 1
Ga1 Ga 0.0000 0.2500 0.5000 1
```


Which is the most stable structure? A is the most stable.